20
Lattice="4.6437 -4.5967 0.0000 4.6437 4.5967 0.0000 -3.9909 0.0000 6.3657" Properties=species:S:1:pos:R:3 comment="TbC2BrO6, relaxed, DFT GGA-PBE" e_tot_ha_per_atom=-0.2637 formation_energy_uncorrected_mev_per_atom=-1726 sg=C2/c magmom_total_mub_per_atom=0.000 pbc="T T T"
Tb 1.6506 3.9084 4.7742
Tb 3.6460 -3.9084 1.5914
C -0.7378 1.3282 4.9614
C 1.2576 -1.3282 1.7786
C 4.0390 1.3282 4.5871
C 6.0344 -1.3282 1.4042
Br 3.6460 0.8924 1.5914
Br 1.6506 -0.8924 4.7742
O -1.3374 0.8517 3.9072
O 0.1478 2.2140 4.9325
O -1.2260 0.7580 6.0590
O 0.6580 -0.8517 0.7244
O 0.7694 -0.7580 2.8762
O 3.1533 2.2140 4.6160
O 2.1433 -2.2140 1.7497
O 4.5271 0.7580 3.4895
O 4.6386 0.8517 5.6413
O 6.5225 -0.7580 0.3067
O 5.1487 -2.2140 1.4331
O 6.6340 -0.8517 2.4585

20
Lattice="4.7115 -4.5412 0.0000 4.7115 4.5412 0.0000 -3.8912 0.0000 7.1985" Properties=species:S:1:pos:R:3 comment="ThC2BrO6, relaxed, DFT GGA-PBE" e_tot_ha_per_atom=-0.2782 formation_energy_uncorrected_mev_per_atom=-1842 sg=C2/c magmom_total_mub_per_atom=0.103 pbc="T T T"
Th 1.7931 3.9199 5.3989
Th 3.7387 -3.9199 1.7996
C -0.6764 1.3411 5.3443
C 1.2692 -1.3411 1.7451
C 4.2626 1.3411 5.4534
C 6.2082 -1.3411 1.8541
Br 3.7387 0.8892 1.7996
Br 1.7931 -0.8892 5.3989
O -1.1713 0.8672 4.2136
O 0.2363 2.2337 5.3435
O -1.2048 0.8395 6.4048
O 0.7743 -0.8672 0.6144
O 0.7407 -0.8395 2.8056
O 3.3499 2.2337 5.4542
O 2.1819 -2.2337 1.7443
O 4.7910 0.8395 4.3929
O 4.7575 0.8672 6.5841
O 6.7366 -0.8395 0.7936
O 5.2955 -2.2337 1.8550
O 6.7031 -0.8672 2.9849

12
Lattice="4.8067 -4.0407 0.0000 4.8067 4.0407 0.0000 0.0000 0.0000 7.7988" Properties=species:S:1:pos:R:3 comment="Tl2CBrO2, relaxed, DFT GGA-PBE" e_tot_ha_per_atom=-0.1837 formation_energy_uncorrected_mev_per_atom=-740 sg=Cmc2_1 magmom_total_mub_per_atom=0.167 pbc="T T T"
Tl 2.9645 2.3087 3.8994
Tl 6.6489 2.3087 3.8994
Tl 2.9645 -2.3087 0.0000
Tl 6.6489 -2.3087 0.0000
C 4.8067 0.4210 5.7682
C 4.8067 -0.4210 1.8688
Br 4.8067 3.3108 1.2459
Br 4.8067 -3.3108 5.1453
O 3.6491 0.0975 6.0678
O 3.6491 -0.0975 2.1684
O 5.9643 0.0975 6.0678
O 5.9643 -0.0975 2.1684

8
Lattice="-2.4903 2.4903 5.3489 2.4903 -2.4903 5.3489 2.4903 2.4903 -5.3489" Properties=species:S:1:pos:R:3 comment="Os2CBr, relaxed, DFT GGA-PBE" de_polymorph_ev_per_atom=0.000 e_tot_ha_per_atom=-0.2653 formation_energy_uncorrected_mev_per_atom=1121 sg=I-42d magmom_total_mub_per_atom=0.000 pbc="T T T"
Os 3.7354 0.7447 -1.3372
Os 0.7447 1.2451 1.3372
Os -1.2451 1.7455 4.0117
Os 1.7455 1.2451 6.6862
C 0.0000 0.0000 0.0000
C 0.0000 2.4903 2.6745
Br 2.4903 0.0000 2.6745
Br 0.0000 0.0000 5.3489